# Pr7NdEr3, optimized geometry, DFT GGA-PBE
# energy relative to the elements = 224 meV/atom
# DOS(E_F) = 1.3919 states/eV per atom
# energy relative to the lowest polymorph listed for this composition = 38 meV/atom
data_Pr7NdEr3
_chemical_formula_sum 'Pr14 Nd2 Er6'
_cell_length_a 11.877
_cell_length_b 10.302
_cell_length_c 6.482
_cell_angle_alpha 90.00
_cell_angle_beta 96.26
_cell_angle_gamma 90.00
_space_group_name_H-M_alt 'C 1 2/m 1'
_space_group_IT_number 12
loop_
_space_group_symop_operation_xyz
'x,y,z'
'-x,-y,-z'
'-x,y,-z'
'x,-y,z'
'x+1/2,y+1/2,z'
'-x+1/2,-y+1/2,-z'
'-x+1/2,y+1/2,-z'
'x+1/2,-y+1/2,z'
loop_
_atom_site_label
_atom_site_fract_x
_atom_site_fract_y
_atom_site_fract_z
Pr1 0.000 0.000 0.000
Pr2 0.234 0.500 0.215
Pr3 0.246 0.324 0.740
Nd1 0.000 0.000 0.500
Er1 0.000 0.333 0.000
Er2 0.000 0.500 0.500



# Pr2NdEr, optimized geometry, DFT GGA-PBE
# energy relative to the elements = 16 meV/atom
# DOS(E_F) = 1.2182 states/eV per atom
# energy relative to the lowest polymorph listed for this composition = 1 meV/atom
data_Pr2NdEr
_chemical_formula_sum 'Pr6 Nd3 Er3'
_cell_length_a 3.6608
_cell_length_b 3.6608
_cell_length_c 35.5973
_cell_angle_alpha 90.00
_cell_angle_beta 90.00
_cell_angle_gamma 120.00
_space_group_name_H-M_alt 'R -3 m'
_space_group_IT_number 166
_space_group_name_Hall '-R 3 2"'
loop_
_atom_site_label
_atom_site_fract_x
_atom_site_fract_y
_atom_site_fract_z
Pr1 0.0000 0.0000 0.2483
Nd1 0.0000 0.0000 0.0000
Er1 0.0000 0.0000 0.5000



# PrNdEr4, optimized geometry, DFT GGA-PBE
# energy relative to the elements = 147 meV/atom
# DOS(E_F) = 1.7102 states/eV per atom
# energy relative to the lowest polymorph listed for this composition = 133 meV/atom
data_PrNdEr4
_chemical_formula_sum 'Pr4 Nd4 Er16'
_cell_length_a 8.842
_cell_length_b 14.711
_cell_length_c 6.479
_cell_angle_alpha 90.00
_cell_angle_beta 109.34
_cell_angle_gamma 90.00
_space_group_name_H-M_alt 'C 1 2/c 1'
_space_group_IT_number 15
loop_
_space_group_symop_operation_xyz
'x,y,z'
'-x,-y,-z'
'-x,y,-z+1/2'
'x,-y,z+1/2'
'x+1/2,y+1/2,z'
'-x+1/2,-y+1/2,-z'
'-x+1/2,y+1/2,-z+1/2'
'x+1/2,-y+1/2,z+1/2'
loop_
_atom_site_label
_atom_site_fract_x
_atom_site_fract_y
_atom_site_fract_z
Pr1 0.000 0.085 0.250
Nd1 0.000 0.498 0.750
Er1 0.092 0.305 0.532
Er2 0.204 0.135 0.881



# PrNd12Er6, optimized geometry, DFT GGA-PBE
# energy relative to the elements = 189 meV/atom
# DOS(E_F) = 1.9653 states/eV per atom
# energy relative to the lowest polymorph listed for this composition = 59 meV/atom
data_PrNd12Er6
_chemical_formula_sum 'Pr3 Nd36 Er18'
_cell_length_a 13.4800
_cell_length_b 13.4800
_cell_length_c 12.6933
_cell_angle_alpha 90.00
_cell_angle_beta 90.00
_cell_angle_gamma 120.00
_space_group_name_H-M_alt 'R -3 m'
_space_group_IT_number 166
_space_group_name_Hall '-R 3 2"'
loop_
_atom_site_label
_atom_site_fract_x
_atom_site_fract_y
_atom_site_fract_z
Pr1 0.0000 0.0000 0.0000
Nd1 0.0000 0.2584 0.5000
Nd2 0.0906 0.1812 0.2631
Er1 0.0421 0.5210 0.6205



# PrNdEr4, optimized geometry, DFT GGA-PBE
# energy relative to the elements = 283 meV/atom
# DOS(E_F) = 2.3459 states/eV per atom
# energy relative to the lowest polymorph listed for this composition = 269 meV/atom
data_PrNdEr4
_chemical_formula_sum 'Pr4 Nd4 Er16'
_cell_length_a 9.400
_cell_length_b 9.400
_cell_length_c 9.400
_cell_angle_alpha 90.00
_cell_angle_beta 90.00
_cell_angle_gamma 90.00
_space_group_name_H-M_alt 'F -4 3 m'
_space_group_IT_number 216
_space_group_name_Hall 'F -4 2 3'
loop_
_atom_site_label
_atom_site_fract_x
_atom_site_fract_y
_atom_site_fract_z
Pr1 0.000 0.000 0.000
Nd1 0.250 0.250 0.750
Er1 0.125 0.125 0.375



# Pr8Nd3Er2, optimized geometry, DFT GGA-PBE
# energy relative to the elements = 149 meV/atom
# DOS(E_F) = 1.7567 states/eV per atom
# energy relative to the lowest polymorph listed for this composition = 0 meV/atom
data_Pr8Nd3Er2
_chemical_formula_sum 'Pr16 Nd6 Er4'
_cell_length_a 13.343
_cell_length_b 11.987
_cell_length_c 6.271
_cell_angle_alpha 90.00
_cell_angle_beta 113.07
_cell_angle_gamma 90.00
_space_group_name_H-M_alt 'C 1 2/m 1'
_space_group_IT_number 12
loop_
_space_group_symop_operation_xyz
'x,y,z'
'-x,-y,-z'
'-x,y,-z'
'x,-y,z'
'x+1/2,y+1/2,z'
'-x+1/2,-y+1/2,-z'
'-x+1/2,y+1/2,-z'
'x+1/2,-y+1/2,z'
loop_
_atom_site_label
_atom_site_fract_x
_atom_site_fract_y
_atom_site_fract_z
Pr1 0.057 0.000 0.290
Pr2 0.153 0.500 0.550
Pr3 0.174 0.244 0.172
Nd1 0.000 0.255 0.500
Nd2 0.000 0.500 0.000
Er1 0.211 0.000 0.859



# Pr4Nd3Er2, optimized geometry, DFT GGA-PBE
# energy relative to the elements = 72 meV/atom
# DOS(E_F) = 1.8249 states/eV per atom
# energy relative to the lowest polymorph listed for this composition = 56 meV/atom
data_Pr4Nd3Er2
_chemical_formula_sum 'Pr4 Nd3 Er2'
_cell_length_a 3.6493
_cell_length_b 3.6493
_cell_length_c 27.3244
_cell_angle_alpha 90.00
_cell_angle_beta 90.00
_cell_angle_gamma 120.00
_space_group_name_H-M_alt 'P 3 m 1'
_space_group_IT_number 156
loop_
_space_group_symop_operation_xyz
'x,y,z'
'-y,x-y,z'
'-x+y,-x,z'
'-y,-x,z'
'-x+y,y,z'
'x,x-y,z'
loop_
_atom_site_label
_atom_site_fract_x
_atom_site_fract_y
_atom_site_fract_z
Pr1 0.0000 0.0000 0.0000
Pr2 0.0000 0.0000 0.2220
Pr3 0.3333 0.6667 0.3344
Pr4 0.3333 0.6667 0.5591
Nd1 0.0000 0.0000 0.4459
Nd2 0.3333 0.6667 0.1086
Nd3 0.3333 0.6667 0.7721
Er1 0.0000 0.0000 0.6644
Er2 0.0000 0.0000 0.8753



# Pr3Nd7Er, optimized geometry, DFT GGA-PBE
# energy relative to the elements = 226 meV/atom
# DOS(E_F) = 1.4172 states/eV per atom
# energy relative to the lowest polymorph listed for this composition = 64 meV/atom
data_Pr3Nd7Er
_chemical_formula_sum 'Pr6 Nd14 Er2'
_cell_length_a 11.862
_cell_length_b 10.343
_cell_length_c 6.558
_cell_angle_alpha 90.00
_cell_angle_beta 94.52
_cell_angle_gamma 90.00
_space_group_name_H-M_alt 'C 1 2/m 1'
_space_group_IT_number 12
loop_
_space_group_symop_operation_xyz
'x,y,z'
'-x,-y,-z'
'-x,y,-z'
'x,-y,z'
'x+1/2,y+1/2,z'
'-x+1/2,-y+1/2,-z'
'-x+1/2,y+1/2,-z'
'x+1/2,-y+1/2,z'
loop_
_atom_site_label
_atom_site_fract_x
_atom_site_fract_y
_atom_site_fract_z
Pr1 0.000 0.000 0.000
Pr2 0.000 0.172 0.500
Nd1 0.000 0.500 0.500
Nd2 0.241 0.000 0.716
Nd3 0.242 0.328 0.762
Er1 0.000 0.500 0.000



# Pr2Nd2Er, optimized geometry, DFT GGA-PBE
# energy relative to the elements = 442 meV/atom
# DOS(E_F) = 1.2087 states/eV per atom
# energy relative to the lowest polymorph listed for this composition = 277 meV/atom
data_Pr2Nd2Er
_chemical_formula_sum 'Pr4 Nd4 Er2'
_cell_length_a 6.043
_cell_length_b 6.043
_cell_length_c 9.832
_cell_angle_alpha 90.00
_cell_angle_beta 90.00
_cell_angle_gamma 90.00
_space_group_name_H-M_alt 'I 4/m m m'
_space_group_IT_number 139
_space_group_name_Hall '-I 4 2'
loop_
_atom_site_label
_atom_site_fract_x
_atom_site_fract_y
_atom_site_fract_z
Pr1 0.000 0.500 0.250
Nd1 0.000 0.000 0.147
Er1 0.000 0.000 0.500



# Pr3Nd2Er3, optimized geometry, DFT GGA-PBE
# energy relative to the elements = 93 meV/atom
# DOS(E_F) = 1.5621 states/eV per atom
# energy relative to the lowest polymorph listed for this composition = 74 meV/atom
data_Pr3Nd2Er3
_chemical_formula_sum 'Pr6 Nd4 Er6'
_cell_length_a 16.325
_cell_length_b 5.868
_cell_length_c 6.098
_cell_angle_alpha 90.00
_cell_angle_beta 111.03
_cell_angle_gamma 90.00
_space_group_name_H-M_alt 'C 1 2/m 1'
_space_group_IT_number 12
loop_
_space_group_symop_operation_xyz
'x,y,z'
'-x,-y,-z'
'-x,y,-z'
'x,-y,z'
'x+1/2,y+1/2,z'
'-x+1/2,-y+1/2,-z'
'-x+1/2,y+1/2,-z'
'x+1/2,-y+1/2,z'
loop_
_atom_site_label
_atom_site_fract_x
_atom_site_fract_y
_atom_site_fract_z
Pr1 0.000 0.000 0.000
Pr2 0.134 0.000 0.692
Nd1 0.249 0.500 0.683
Er1 0.000 0.500 0.500
Er2 0.129 0.500 0.080



# PrNd8Er4, optimized geometry, DFT GGA-PBE
# energy relative to the elements = 179 meV/atom
# DOS(E_F) = 1.1180 states/eV per atom
data_PrNd8Er4
_chemical_formula_sum 'Pr3 Nd24 Er12'
_cell_length_a 7.3654
_cell_length_b 7.3654
_cell_length_c 28.4656
_cell_angle_alpha 90.00
_cell_angle_beta 90.00
_cell_angle_gamma 120.00
_space_group_name_H-M_alt 'R -3 m'
_space_group_IT_number 166
_space_group_name_Hall '-R 3 2"'
loop_
_atom_site_label
_atom_site_fract_x
_atom_site_fract_y
_atom_site_fract_z
Pr1 0.0000 0.0000 0.0000
Nd1 0.0000 0.0000 0.2841
Nd2 0.0327 0.5164 0.2647
Er1 0.0000 0.0000 0.5000
Er2 0.0000 0.5000 0.5000